1.
Ta3NbW | PBE-GGA | relaxed

Calculated values
Symmetry: No. 15
E above lowest polymorph in eV/atom: 0.283
E_form in eV/atom: 0.242

abc: 7.230 7.230 8.126
angles: 97.84 97.84 116.13
Fractional coordinates of all 20 atoms:
1 Ta 0.052 0.838 0.909
2 Ta 0.071 0.512 0.676
3 Ta 0.162 0.948 0.591
4 Ta 0.225 0.582 0.056
5 Ta 0.418 0.775 0.444
6 Ta 0.488 0.929 0.824
7 Ta 0.512 0.071 0.176
8 Ta 0.582 0.225 0.556
9 Ta 0.775 0.418 0.944
10 Ta 0.838 0.052 0.409
11 Ta 0.929 0.488 0.324
12 Ta 0.948 0.162 0.091
13 Nb 0.243 0.331 0.417
14 Nb 0.331 0.243 0.917
15 Nb 0.669 0.757 0.083
16 Nb 0.757 0.669 0.583
17 W 0.119 0.881 0.250
18 W 0.467 0.533 0.750
19 W 0.533 0.467 0.250
20 W 0.881 0.119 0.750



2.
TaNbW | PBE-GGA | relaxed

Calculated values
Symmetry: No. 166
E above lowest polymorph in eV/atom: 0.914
E_form in eV/atom: 0.852

abc: 7.537 7.537 7.537
angles: 35.23 35.23 35.23
Fractional coordinates of all 6 atoms:
1 Ta 0.065 0.065 0.065
2 Ta 0.935 0.935 0.935
3 Nb 0.432 0.432 0.432
4 Nb 0.568 0.568 0.568
5 W 0.309 0.309 0.309
6 W 0.691 0.691 0.691



3.
TaNb6W12 | PBE-GGA | relaxed

Calculated values
Symmetry: No. 166
E_form in eV/atom: 1.159

abc: 7.299 7.299 7.299
angles: 91.81 91.81 91.81
Fractional coordinates of all 19 atoms:
1 Ta 0.000 0.000 0.000
2 Nb 0.170 0.170 0.694
3 Nb 0.170 0.694 0.170
4 Nb 0.306 0.830 0.830
5 Nb 0.694 0.170 0.170
6 Nb 0.830 0.306 0.830
7 Nb 0.830 0.830 0.306
8 W 0.146 0.500 0.854
9 W 0.146 0.854 0.500
10 W 0.230 0.500 0.500
11 W 0.500 0.146 0.854
12 W 0.500 0.230 0.500
13 W 0.500 0.500 0.230
14 W 0.500 0.500 0.770
15 W 0.500 0.770 0.500
16 W 0.500 0.854 0.146
17 W 0.770 0.500 0.500
18 W 0.854 0.146 0.500
19 W 0.854 0.500 0.146



4.
Ta3Nb4W | PBE-GGA | relaxed

Calculated values
Symmetry: No. 123
E above lowest polymorph in eV/atom: 0.000
E_form in eV/atom: -0.021

abc: 4.652 4.652 6.616
angles: 90.00 90.00 90.00
Fractional coordinates of all 8 atoms:
1 Ta 0.000 0.000 0.000
2 Ta 0.000 0.000 0.500
3 Ta 0.500 0.500 0.000
4 Nb 0.000 0.500 0.254
5 Nb 0.000 0.500 0.746
6 Nb 0.500 0.000 0.254
7 Nb 0.500 0.000 0.746
8 W 0.500 0.500 0.500



5.
Ta3Nb2W2 | PBE-GGA | relaxed

Calculated values
Symmetry: No. 65
E above lowest polymorph in eV/atom: 0.000
E_form in eV/atom: 0.264

abc: 3.345 23.103 3.294
angles: 90.00 90.00 90.00
Fractional coordinates of all 14 atoms:
1 Ta 0.000 0.000 0.000
2 Ta 0.000 0.428 0.500
3 Ta 0.000 0.572 0.500
4 Ta 0.500 0.072 0.500
5 Ta 0.500 0.500 0.000
6 Ta 0.500 0.928 0.500
7 Nb 0.000 0.146 0.000
8 Nb 0.000 0.854 0.000
9 Nb 0.500 0.354 0.000
10 Nb 0.500 0.646 0.000
11 W 0.000 0.292 0.500
12 W 0.000 0.708 0.500
13 W 0.500 0.208 0.500
14 W 0.500 0.792 0.500



6.
TaNbW2 | PBE-GGA | relaxed

Calculated values
Symmetry: No. 122
E_form in eV/atom: 0.856

abc: 7.325 7.325 5.525
angles: 90.00 90.00 90.00
Fractional coordinates of all 16 atoms:
1 Ta 0.000 0.000 0.000
2 Ta 0.000 0.500 0.250
3 Ta 0.500 0.000 0.750
4 Ta 0.500 0.500 0.500
5 Nb 0.000 0.000 0.500
6 Nb 0.000 0.500 0.750
7 Nb 0.500 0.000 0.250
8 Nb 0.500 0.500 0.000
9 W 0.248 0.250 0.625
10 W 0.250 0.748 0.875
11 W 0.250 0.752 0.375
12 W 0.252 0.250 0.125
13 W 0.748 0.750 0.125
14 W 0.750 0.248 0.375
15 W 0.750 0.252 0.875
16 W 0.752 0.750 0.625



7.
TaNb2W | PBE-GGA | relaxed

Calculated values
Symmetry: No. 71
E above lowest polymorph in eV/atom: 0.769
E_form in eV/atom: 0.735

abc: 3.018 4.637 10.877
angles: 90.00 90.00 90.00
Fractional coordinates of all 8 atoms:
1 Ta 0.000 0.000 0.000
2 Ta 0.500 0.500 0.500
3 Nb 0.000 0.000 0.256
4 Nb 0.000 0.000 0.744
5 Nb 0.500 0.500 0.244
6 Nb 0.500 0.500 0.756
7 W 0.000 0.000 0.500
8 W 0.500 0.500 0.000



8.
TaNb2W | PBE-GGA | relaxed

Calculated values
Symmetry: No. 15
E above lowest polymorph in eV/atom: 0.303
E_form in eV/atom: 0.269

abc: 3.110 11.891 7.894
angles: 90.00 90.67 90.00
Fractional coordinates of all 16 atoms:
1 Ta 0.000 0.015 0.250
2 Ta 0.000 0.985 0.750
3 Ta 0.500 0.485 0.750
4 Ta 0.500 0.515 0.250
5 Nb 0.005 0.368 0.461
6 Nb 0.005 0.632 0.961
7 Nb 0.495 0.132 0.539
8 Nb 0.495 0.868 0.039
9 Nb 0.505 0.132 0.961
10 Nb 0.505 0.868 0.461
11 Nb 0.995 0.368 0.039
12 Nb 0.995 0.632 0.539
13 W 0.000 0.268 0.750
14 W 0.000 0.732 0.250
15 W 0.500 0.232 0.250
16 W 0.500 0.768 0.750



9.
Ta5Nb4W | PBE-GGA | relaxed

Calculated values
Symmetry: No. 123
E_form in eV/atom: -0.030

abc: 3.288 3.288 16.622
angles: 90.00 90.00 90.00
Fractional coordinates of all 10 atoms:
1 Ta 0.000 0.000 0.000
2 Ta 0.000 0.000 0.202
3 Ta 0.000 0.000 0.404
4 Ta 0.000 0.000 0.596
5 Ta 0.000 0.000 0.798
6 Nb 0.500 0.500 0.101
7 Nb 0.500 0.500 0.302
8 Nb 0.500 0.500 0.698
9 Nb 0.500 0.500 0.899
10 W 0.500 0.500 0.500



10.
Ta7Nb2W2 | PBE-GGA | relaxed

Calculated values
Symmetry: No. 12
E above lowest polymorph in eV/atom: 0.093
E_form in eV/atom: 0.339

abc: 6.901 6.901 5.073
angles: 111.54 111.54 87.15
Fractional coordinates of all 11 atoms:
1 Ta 0.000 0.000 0.000
2 Ta 0.052 0.599 0.825
3 Ta 0.184 0.184 0.684
4 Ta 0.401 0.948 0.175
5 Ta 0.599 0.052 0.825
6 Ta 0.816 0.816 0.316
7 Ta 0.948 0.401 0.175
8 Nb 0.500 0.500 0.245
9 Nb 0.500 0.500 0.755
10 W 0.229 0.771 0.500
11 W 0.771 0.229 0.500



11.
TaNb3W | PBE-GGA | relaxed

Calculated values
Symmetry: No. 221
E above lowest polymorph in eV/atom: 1.301
E_form in eV/atom: 1.508

abc: 4.817 4.817 4.817
angles: 90.00 90.00 90.00
Fractional coordinates of all 5 atoms:
1 Ta 0.000 0.000 0.000
2 Nb 0.000 0.500 0.500
3 Nb 0.500 0.000 0.500
4 Nb 0.500 0.500 0.000
5 W 0.500 0.500 0.500



12.
TaNb2W | PBE-GGA | relaxed

Calculated values
Symmetry: No. 123
E above lowest polymorph in eV/atom: 0.003
E_form in eV/atom: -0.032

abc: 3.271 3.271 6.590
angles: 90.00 90.00 90.00
Fractional coordinates of all 4 atoms:
1 Ta 0.000 0.000 0.000
2 Nb 0.500 0.500 0.258
3 Nb 0.500 0.500 0.742
4 W 0.000 0.000 0.500